[1]
The following is a GGA-PBE calculation of a relaxed structure of BTe2RhN, from Alexandria via LeMat-Bulk.

The space group is P4/mmm (No. 123) and the conventional cell measures 5.326, 5.326 and 2.870 Å, with angles of 90.00, 90.00 and 90.00 degrees. Symmetry generates all atoms from B at (0.000, 0.000, 0.000), Te at (0.000, 0.500, 0.000), Rh at (0.500, 0.500, 0.500) and N at (0.000, 0.000, 0.500).

[2]
The following is a GGA-PBE calculation of a relaxed structure of BTeRhN2, from Alexandria via LeMat-Bulk.

The space group is P4/mmm (No. 123) and the conventional cell measures 3.405, 3.405 and 7.545 Å, with angles of 90.00, 90.00 and 90.00 degrees. Symmetry generates all atoms from B at (0.000, 0.000, 0.000), Te at (0.000, 0.000, 0.500), Rh at (0.500, 0.500, 0.500) and N at (0.000, 0.500, 0.000).

[3]
The following is a GGA-PBE calculation of a relaxed structure of B2Ru2N, from Alexandria via LeMat-Bulk.

The space group is I4/mmm (No. 139) and the conventional cell measures 2.783, 2.783 and 12.011 Å, with angles of 90.00, 90.00 and 90.00 degrees. Symmetry generates all atoms from B at (0.000, 0.500, 0.250), Ru at (0.000, 0.000, 0.112) and N at (0.000, 0.000, 0.500).

[4]
The following is a GGA-PBE calculation of a relaxed structure of B3RuN, from Alexandria via LeMat-Bulk.

The space group is Pm-3m (No. 221) and the conventional cell measures 3.425, 3.425 and 3.425 Å, with angles of 90.00, 90.00 and 90.00 degrees. Symmetry generates all atoms from B at (0.000, 0.000, 0.500), Ru at (0.500, 0.500, 0.500) and N at (0.000, 0.000, 0.000).

[5]
The following is a GGA-PBE calculation of a relaxed structure of B2Ru2N, from Alexandria via LeMat-Bulk.

The space group is P4/mbm (No. 127) and the conventional cell measures 5.813, 5.813 and 2.852 Å, with angles of 90.00, 90.00 and 90.00 degrees. Symmetry generates all atoms from B at (0.102, 0.398, 0.000), Ru at (0.195, 0.695, 0.500) and N at (0.000, 0.000, 0.500).

[6]
The following is a GGA-PBE calculation of a relaxed structure of B3RuN, from Alexandria via LeMat-Bulk.

The space group is Pm-3m (No. 221) and the conventional cell measures 4.071, 4.071 and 4.071 Å, with angles of 90.00, 90.00 and 90.00 degrees. Symmetry generates all atoms from B at (0.000, 0.000, 0.500), Ru at (0.000, 0.000, 0.000) and N at (0.500, 0.500, 0.500).

In the order shown, the computed energy relative to the elements, uncorrected values come out to 2.1, 7.4, 1.5, 7.0, 2.1, 9.8 eV per formula unit.
In the order shown, the computed total magnetization values come out to 0.000, 0.339, 0.000, 0.000, 0.000, 2.583 μB per cell.